A relaxed TbHo14Er crystal, computed with PBE-GGA.

Output
Calculated formation energy in eV per formula unit: 0.059
Fermi-level density of states in states/eV per cell: 19.88
Electronic total energy in eV per cell: -73.223

Structure (POSCAR):
```
TbHo14Er
1.0
-6.0234 -1.5966 3.3319
4.5078 -5.1351 -1.8009
5.2477 1.0955 10.0116
Ho Er Tb
14 1 1
Direct
0.0418 0.4583 0.0000
0.3750 0.6250 0.7498
0.8751 0.1249 0.2495
0.2081 0.2916 0.5000
0.8751 0.1249 0.7505
0.3749 0.1249 0.7502
0.3750 0.6250 0.2502
0.0418 0.9582 0.0000
0.7084 0.7919 0.5000
0.8751 0.6251 0.7502
0.5417 0.4583 0.0000
0.5417 0.9582 0.0000
0.3749 0.1249 0.2498
0.8751 0.6251 0.2498
0.2082 0.7918 0.5000
0.7083 0.2917 0.5000
```